## Li3MnCo2O6 (GGA+U)

Data for a relaxed Li3MnCo2O6 crystal.

Output
Space-group type = C2/m (12)
Distance to the lowest polymorph of the same formula = 30 meV per atom
N(E_F) = 0.126 states/eV per cell

Cell: 5.2150 5.2150 8.0665 Å, 113.66 113.66 34.01°
Closest atoms and distances in Å follow each position.
Fractional coordinates of all 12 atoms:
1 Li 0.0000 0.0000 0.0000  6 O 2.11-2.19
2 Li 0.3335 0.3335 0.6679  6 O 2.10-2.20
3 Li 0.6665 0.6665 0.3321  6 O 2.10-2.20
4 Mn 0.0000 0.0000 0.5000  6 O 1.93-2.13
5 Co 0.3317 0.3317 0.1652  6 O 1.92-2.10
6 Co 0.6683 0.6683 0.8348  6 O 1.92-2.10
7 O 0.0088 0.0088 0.7434  1 Mn 1.93, 2 Co 2.10, 1 Li 2.11
8 O 0.3275 0.3275 0.9250  3 Co 1.92-2.10, 1 Li 2.10
9 O 0.3365 0.3365 0.4065  1 Co 1.93, 1 Li 2.12, 2 Mn 2.13
10 O 0.6635 0.6635 0.5935  1 Co 1.93, 1 Li 2.12, 2 Mn 2.13
11 O 0.6725 0.6725 0.0750  3 Co 1.92-2.10, 1 Li 2.10
12 O 0.9912 0.9912 0.2566  1 Mn 1.93, 2 Co 2.10, 1 Li 2.11